(1)
First-principles (PBE) data for RbH4Os after structural relaxation, as listed in Alexandria via LeMat-Bulk.

E = -4.304 eV/atom

a = 7.014 Å, b = 7.014 Å, c = 4.691 Å
α = 106.91°, β = 106.91°, γ = 52.55°
Sites, in units of the cell vectors:
Rb 0.175 0.175 0.110
Rb 0.825 0.825 0.890
H 0.211 0.578 0.449
H 0.294 0.706 0.000
H 0.328 0.328 0.724
H 0.422 0.789 0.551
H 0.578 0.211 0.449
H 0.672 0.672 0.276
H 0.706 0.294 0.000
H 0.789 0.422 0.551
Os 0.457 0.457 0.709
Os 0.543 0.543 0.291

(2)
First-principles (PBE) data for SmDy14Y after structural relaxation, as listed in Alexandria via LeMat-Bulk.

energy of formation = 0.0 eV per formula unit

a = 11.472 Å, b = 7.129 Å, c = 7.129 Å
α = 60.03°, β = 90.00°, γ = 90.00°
Sites, in units of the cell vectors:
Sm 0.000 0.000 0.000
Dy 0.000 0.000 0.500
Dy 0.000 0.500 0.000
Dy 0.250 0.667 0.667
Dy 0.251 0.166 0.667
Dy 0.251 0.167 0.167
Dy 0.251 0.667 0.166
Dy 0.500 0.334 0.334
Dy 0.500 0.334 0.834
Dy 0.500 0.833 0.833
Dy 0.500 0.834 0.334
Dy 0.749 0.166 0.667
Dy 0.749 0.167 0.167
Dy 0.749 0.667 0.166
Dy 0.750 0.667 0.667
Y 0.000 0.500 0.500

(3)
First-principles (PBE) data for Dy3HoTc after structural relaxation, as listed in Alexandria via LeMat-Bulk.

energy of formation = 0.8 eV per formula unit
distance to the lowest polymorph of the same formula = 225 meV per atom

a = 5.367 Å, b = 5.367 Å, c = 5.367 Å
α = 90.00°, β = 90.00°, γ = 90.00°
Sites, in units of the cell vectors:
Dy 0.000 0.000 0.500
Dy 0.000 0.500 0.000
Dy 0.500 0.000 0.000
Ho 0.500 0.500 0.500
Tc 0.000 0.000 0.000

(4)
First-principles (PBE) data for PuAsO5 after structural relaxation, as listed in Alexandria via LeMat-Bulk.

E = -8.210 eV/atom

a = 5.809 Å, b = 5.809 Å, c = 8.018 Å
α = 109.96°, β = 109.96°, γ = 90.77°
Sites, in units of the cell vectors:
Pu 0.000 0.000 0.000
Pu 0.000 0.000 0.500
As 0.372 0.628 0.750
As 0.628 0.372 0.250
O 0.053 0.947 0.250
O 0.251 0.743 0.926
O 0.257 0.749 0.574
O 0.302 0.312 0.650
O 0.312 0.302 0.150
O 0.688 0.698 0.850
O 0.698 0.688 0.350
O 0.743 0.251 0.426
O 0.749 0.257 0.074
O 0.947 0.053 0.750

(5)
First-principles (PBE) data for TiMn2VAs4 after structural relaxation, as listed in Alexandria via LeMat-Bulk.

energy of formation = -3.4 eV per formula unit

a = 5.834 Å, b = 3.605 Å, c = 6.414 Å
α = 90.00°, β = 90.09°, γ = 90.00°
Sites, in units of the cell vectors:
Ti 0.000 0.000 0.000
Mn 0.000 0.500 0.500
Mn 0.500 0.000 0.000
V 0.500 0.500 0.500
As 0.252 0.000 0.667
As 0.258 0.500 0.174
As 0.742 0.500 0.826
As 0.748 0.000 0.333

(6)
First-principles (PBE) data for DyHoTh2 after structural relaxation, as listed in Alexandria via LeMat-Bulk.

energy of formation = 0.6 eV per formula unit
distance to the lowest polymorph of the same formula = 110 meV per atom

a = 5.644 Å, b = 5.644 Å, c = 5.644 Å
α = 60.00°, β = 60.00°, γ = 60.00°
Sites, in units of the cell vectors:
Dy 0.000 0.000 0.000
Ho 0.500 0.500 0.500
Th 0.250 0.250 0.250
Th 0.750 0.750 0.750

(7)
First-principles (PBE) data for Sm2TlC2N6 after structural relaxation, as listed in Alexandria via LeMat-Bulk.

E = -7.507 eV/atom

a = 6.092 Å, b = 6.102 Å, c = 6.267 Å
α = 69.00°, β = 69.07°, γ = 61.52°
Sites, in units of the cell vectors:
Sm 0.171 0.170 0.205
Sm 0.829 0.830 0.795
Tl 0.500 0.500 0.500
C 0.161 0.163 0.750
C 0.839 0.837 0.250
N 0.027 0.388 0.814
N 0.076 0.078 0.640
N 0.387 0.028 0.813
N 0.613 0.972 0.187
N 0.924 0.922 0.360
N 0.973 0.612 0.186

(8)
First-principles (PBE) data for CaEuAlBiO6 after structural relaxation, as listed in Alexandria via LeMat-Bulk.

E = -7.147 eV/atom

a = 5.673 Å, b = 5.673 Å, c = 5.673 Å
α = 60.00°, β = 60.00°, γ = 60.00°
Sites, in units of the cell vectors:
Ca 0.000 0.000 0.000
Eu 0.500 0.500 0.500
Al 0.250 0.250 0.250
Bi 0.750 0.750 0.750
O 0.013 0.013 0.487
O 0.013 0.487 0.013
O 0.013 0.487 0.487
O 0.487 0.013 0.013
O 0.487 0.013 0.487
O 0.487 0.487 0.013